Record 1
Entry from Alexandria via LeMat-Bulk: an optimized crystal structure of ErNi5H4 (PBE).

Properties
The calculated density is 8595 kg/m³. The space-group type is Pmmn (59).

Cell lengths 4.2914, 7.7168, 5.4230 Å; angles 90.00, 90.00, 90.00 degrees
Positions (direct):
H  0.9473  0.7206  0.0000
H  0.0527  0.7794  0.5000
Ni  0.2430  0.3282  0.7570
Ni  0.2319  0.0000  0.5000
H  0.9473  0.2794  0.0000
H  0.4459  0.5000  0.1814
H  0.5541  0.0000  0.3186
Er  0.2412  0.0000  0.0000
Ni  0.2430  0.6718  0.2430
H  0.5541  0.0000  0.6814
Ni  0.2430  0.6718  0.7570
Ni  0.7570  0.8282  0.7430
H  0.4459  0.5000  0.8186
Ni  0.7570  0.1718  0.2570
Ni  0.2430  0.3282  0.2430
Er  0.7588  0.5000  0.5000
Ni  0.7681  0.5000  0.0000
Ni  0.7570  0.1718  0.7430
Ni  0.7570  0.8282  0.2570
H  0.0527  0.2206  0.5000

Record 2
Entry from Alexandria via LeMat-Bulk: an optimized crystal structure of ErNiPH (PBE).

Properties
The calculated density is 8367 kg/m³. The space-group type is P4/nmm (129).

Cell lengths 3.8004, 3.8004, 7.0887 Å; angles 90.00, 90.00, 90.00 degrees
Positions (direct):
P  0.5000  0.0000  0.1770
H  0.0000  0.0000  0.5000
Ni  0.5000  0.5000  0.0000
Er  0.5000  0.0000  0.6682
P  0.0000  0.5000  0.8230
Er  0.0000  0.5000  0.3318
Ni  0.0000  0.0000  0.0000
H  0.5000  0.5000  0.5000

Record 3
Entry from Alexandria via LeMat-Bulk: an optimized crystal structure of Er2NiHPt6 (PBE).

Properties
The calculated density is 15787 kg/m³. The space-group type is R-3m (166).

Cell lengths 5.5401, 6.9686, 5.5407 Å; angles 66.57, 60.01, 90.00 degrees
Positions (direct):
Pt  0.2327  0.1926  0.5345
Ni  0.5000  0.5000  0.0000
Er  0.2095  0.6287  0.5810
Pt  0.7673  0.8074  0.4655
Pt  0.7671  0.8072  0.9601
Er  0.7905  0.3713  0.4190
Pt  0.2329  0.1928  0.0399
Pt  0.7269  0.1927  0.0401
H  0.0000  0.0000  0.0000
Pt  0.2731  0.8073  0.9599

Record 4
Entry from Alexandria via LeMat-Bulk: an optimized crystal structure of ErSiNi2H (PBE).

Properties
The calculated density is 8330 kg/m³. The space-group type is Cmcm (63).

Cell lengths 3.6942, 5.3895, 6.6871 Å; angles 90.00, 90.00, 110.04 degrees
Positions (direct):
Ni  0.8357  0.6713  0.4425
Ni  0.8357  0.6713  0.0575
H  0.0000  0.0000  0.5000
Si  0.7237  0.4473  0.7500
Er  0.5590  0.1180  0.2500
Ni  0.1643  0.3287  0.9425
Er  0.4410  0.8820  0.7500
Si  0.2763  0.5527  0.2500
Ni  0.1643  0.3287  0.5575
H  0.0000  0.0000  0.0000

Record 5
Entry from Alexandria via LeMat-Bulk: an optimized crystal structure of ErSiNiH (PBE).

Properties
The calculated density is 7926 kg/m³. The space-group type is P4/nmm (129).

Cell lengths 3.8702, 3.8702, 7.1345 Å; angles 90.00, 90.00, 90.00 degrees
Positions (direct):
Er  0.0000  0.5000  0.3377
H  0.5000  0.5000  0.5000
Ni  0.5000  0.5000  0.0000
Si  0.0000  0.5000  0.8275
Er  0.5000  0.0000  0.6623
Si  0.5000  0.0000  0.1725
Ni  0.0000  0.0000  0.0000
H  0.0000  0.0000  0.5000

Record 6
Entry from Alexandria via LeMat-Bulk: an optimized crystal structure of SrErNi2H8 (PBE).

Properties
The calculated density is 5102 kg/m³. The space-group type is R-3 (148).

Cell lengths 4.8053, 4.8053, 6.7833 Å; angles 69.26, 69.26, 60.00 degrees
Positions (direct):
H  0.8098  0.8098  0.5704
H  0.0816  0.4455  0.8226
H  0.6504  0.0816  0.8226
H  0.4455  0.6504  0.8226
H  0.5545  0.3496  0.1774
Ni  0.2713  0.2713  0.1860
Er  0.0000  0.0000  0.0000
H  0.3496  0.9184  0.1774
H  0.9184  0.5545  0.1774
H  0.1902  0.1902  0.4296
Sr  0.5000  0.5000  0.5000
Ni  0.7287  0.7287  0.8140

Record 7
Entry from Alexandria via LeMat-Bulk: an optimized crystal structure of ErZnNi2H (PBE).

Properties
The calculated density is 8892 kg/m³. The space-group type is Cmcm (63).

Cell lengths 3.7071, 5.3841, 6.9972 Å; angles 90.00, 90.00, 110.14 degrees
Positions (direct):
Ni  0.8445  0.6889  0.0551
Ni  0.1555  0.3111  0.5551
Zn  0.2738  0.5476  0.2500
H  0.0000  0.0000  0.5000
Er  0.4452  0.8903  0.7500
H  0.0000  0.0000  0.0000
Ni  0.8445  0.6889  0.4449
Er  0.5548  0.1097  0.2500
Ni  0.1555  0.3111  0.9449
Zn  0.7262  0.4524  0.7500

Record 8
Entry from Alexandria via LeMat-Bulk: an optimized crystal structure of ErNpH (PBE).

Properties
The calculated density is 12300 kg/m³. The space-group type is C2/m (12).

Cell lengths 3.3269, 3.3269, 9.9319 Å; angles 86.24, 86.24, 91.06 degrees
Positions (direct):
H  0.6752  0.6752  0.8678
Np  0.1588  0.1588  0.8979
H  0.3248  0.3248  0.1322
Er  0.7252  0.7252  0.6375
Np  0.8412  0.8412  0.1021
Er  0.2748  0.2748  0.3625

These records have final energy values of -96.917; -45.819; -61.795; -57.111; -44.444; -46.938; -45.303; -41.098 eV/cell, in the order they appear.
These records have M_tot values of 0.0; 0.0; 0.0; 0.0; 0.0; 0.0; 0.0; 4.5 Bohr magnetons per cell, in the order they appear.